[1]
A plane-wave DFT calculation with PBE was carried out for crystalline Mo4PtN at its relaxed geometry.

Calculated values
Space group   C2/c
Calculated volume   15.59 Å³/atom
E_form (uncorrected)   0.186 eV per atom

Cell lengths 6.863, 6.863, 5.354 Å; angles 108.55, 108.55, 113.95 degrees
Atoms (fractional coordinates):
Mo: 0.047 0.624 0.771
Mo: 0.184 0.255 0.716
Mo: 0.255 0.184 0.216
Mo: 0.376 0.953 0.729
Mo: 0.624 0.047 0.271
Mo: 0.745 0.816 0.784
Mo: 0.816 0.745 0.284
Mo: 0.953 0.376 0.229
Pt: 0.367 0.633 0.250
Pt: 0.633 0.367 0.750
N: 0.065 0.935 0.750
N: 0.935 0.065 0.250

=====

[2]
A plane-wave DFT calculation with PBE was carried out for crystalline CuIrPt3 at its relaxed geometry.

Calculated values
Space group   Pm-3m
Calculated volume   18.00 Å³/atom
DFT formation energy   1.36 eV per atom
Energy above the lowest structure with this stoichiometry   0.00 kcal/mol of atoms

Cell lengths 4.481, 4.481, 4.481 Å; angles 90.00, 90.00, 90.00 degrees
Atoms (fractional coordinates):
Cu: 0.000 0.000 0.000
Ir: 0.500 0.500 0.500
Pt: 0.000 0.000 0.500
Pt: 0.000 0.500 0.000
Pt: 0.500 0.000 0.000

=====

[3]
A plane-wave DFT calculation with PBE was carried out for crystalline SrIn6Ag12 at its relaxed geometry.

Calculated values
Space group   R-3m
Calculated volume   22.49 Å³/atom
DFT formation energy   0.00 eV per atom

Cell lengths 7.838, 7.838, 7.838 Å; angles 104.27, 104.27, 104.27 degrees
Atoms (fractional coordinates):
Sr: 0.000 0.000 0.000
In: 0.289 0.289 0.700
In: 0.289 0.700 0.289
In: 0.300 0.711 0.711
In: 0.700 0.289 0.289
In: 0.711 0.300 0.711
In: 0.711 0.711 0.300
Ag: 0.111 0.500 0.889
Ag: 0.111 0.889 0.500
Ag: 0.121 0.367 0.367
Ag: 0.367 0.121 0.367
Ag: 0.367 0.367 0.121
Ag: 0.500 0.111 0.889
Ag: 0.500 0.889 0.111
Ag: 0.633 0.633 0.879
Ag: 0.633 0.879 0.633
Ag: 0.879 0.633 0.633
Ag: 0.889 0.111 0.500
Ag: 0.889 0.500 0.111

=====

[4]
A plane-wave DFT calculation with PBE was carried out for crystalline Tc2IrAu at its relaxed geometry.

Calculated values
Space group   C2/m
Calculated volume   15.27 Å³/atom
DFT formation energy   0.22 eV per atom
Energy above the lowest structure with this stoichiometry   2.65 kcal/mol of atoms

Cell lengths 4.859, 4.859, 4.766 Å; angles 99.73, 99.73, 33.48 degrees
Atoms (fractional coordinates):
Tc: 0.244 0.244 0.232
Tc: 0.756 0.756 0.768
Ir: 0.500 0.500 0.000
Au: 0.000 0.000 0.500